(1)
Tb3Nd12Tl, relaxed, DFT GGA-PBE; DFT formation energy = -32 meV per atom; final energy = -4.624 eV per atom; ρ = 7.44 g/cm³
1.0
5.0971 0.0000 0.0000
0.0000 5.0971 0.0000
0.0000 0.0000 20.7228
Tb Nd Tl
3 12 1
Direct
0.0000 0.0000 0.0000
0.0000 0.0000 0.2517
0.0000 0.0000 0.7483
0.0000 0.5000 0.1263
0.0000 0.5000 0.3785
0.0000 0.5000 0.6215
0.0000 0.5000 0.8737
0.5000 0.0000 0.1263
0.5000 0.0000 0.3785
0.5000 0.0000 0.6215
0.5000 0.0000 0.8737
0.5000 0.5000 0.0000
0.5000 0.5000 0.2534
0.5000 0.5000 0.5000
0.5000 0.5000 0.7466
0.0000 0.0000 0.5000



(2)
TbNd14Tl, relaxed, DFT GGA-PBE; DFT formation energy = -25 meV per atom; final energy = -4.634 eV per atom; ρ = 7.27 g/cm³
1.0
10.3322 0.0000 0.0000
0.0000 5.1335 5.1329
0.0000 -5.1335 5.1329
Tb Nd Tl
1 14 1
Direct
0.0000 0.0000 0.0000
0.0000 0.5004 0.9994
0.0000 0.9994 0.5004
0.2450 0.2513 0.2513
0.2454 0.2512 0.7490
0.2454 0.7490 0.2512
0.2458 0.7489 0.7489
0.5000 0.0004 0.0004
0.5000 0.0002 0.4999
0.5000 0.4999 0.0002
0.5000 0.4999 0.4999
0.7542 0.7489 0.7489
0.7550 0.2513 0.2513
0.7546 0.2512 0.7490
0.7546 0.7490 0.2512
0.0000 0.5001 0.5001



(3)
Tb2Nd2Tl3, relaxed, DFT GGA-PBE; DFT formation energy = -240 meV per atom; final energy = -3.939 eV per atom; ρ = 9.63 g/cm³; relative energy among the computed polymorphs = 17 meV/atom
1.0
1.7881 -16.3495 0.0000
1.7881 16.3495 0.0000
0.0000 0.0000 3.5968
Tb Nd Tl
2 2 3
Direct
0.2025 0.7975 0.0000
0.7975 0.2025 0.0000
0.0694 0.9306 0.0000
0.9306 0.0694 0.0000
0.3610 0.6390 0.5000
0.5000 0.5000 0.5000
0.6390 0.3610 0.5000



(4)
Tb2Nd3Tl, relaxed, DFT GGA-PBE; DFT formation energy = -71 meV per atom; final energy = -4.393 eV per atom; ρ = 8.15 g/cm³; relative energy among the computed polymorphs = 38 meV/atom
1.0
8.7211 -3.4442 0.0000
8.7211 3.4442 0.0000
-1.0279 0.0000 6.4787
Tb Nd Tl
4 6 2
Direct
0.0532 0.2697 0.0727
0.2697 0.0532 0.5727
0.7303 0.9468 0.4273
0.9468 0.7303 0.9273
0.2146 0.4483 0.4562
0.2694 0.7306 0.2500
0.4483 0.2146 0.9562
0.5517 0.7854 0.0438
0.7306 0.2694 0.7500
0.7854 0.5517 0.5438
0.2205 0.7795 0.7500
0.7795 0.2205 0.2500



(5)
Tb4NdTl2, relaxed, DFT GGA-PBE; DFT formation energy = -113 meV per atom; final energy = -4.116 eV per atom; ρ = 8.80 g/cm³; relative energy among the computed polymorphs = 11 meV/atom
1.0
9.1968 0.0000 0.0000
0.0000 9.1968 0.0000
0.0000 0.0000 5.3068
Tb Nd Tl
8 2 4
Direct
0.0775 0.3332 0.0000
0.1668 0.5775 0.5000
0.3332 0.0775 0.0000
0.4225 0.8332 0.5000
0.5775 0.1668 0.5000
0.6668 0.9225 0.0000
0.8332 0.4225 0.5000
0.9225 0.6668 0.0000
0.0000 0.0000 0.5000
0.5000 0.5000 0.0000
0.2448 0.7552 0.0000
0.2552 0.2552 0.5000
0.7448 0.7448 0.5000
0.7552 0.2448 0.0000



(6)
TbNd5Tl2, relaxed, DFT GGA-PBE; DFT formation energy = -68 meV per atom; final energy = -4.218 eV per atom; ρ = 7.77 g/cm³; relative energy among the computed polymorphs = 44 meV/atom
1.0
5.5818 0.0000 0.0000
-2.7909 4.8340 0.0000
0.0000 0.0000 20.4149
Tb Nd Tl
2 10 4
Direct
0.3333 0.6667 0.2500
0.6667 0.3333 0.7500
0.0000 0.0000 0.1617
0.0000 0.0000 0.3383
0.0000 0.0000 0.6617
0.0000 0.0000 0.8383
0.3333 0.6667 0.5621
0.3333 0.6667 0.7500
0.3333 0.6667 0.9379
0.6667 0.3333 0.0621
0.6667 0.3333 0.2500
0.6667 0.3333 0.4379
0.3333 0.6667 0.0960
0.3333 0.6667 0.4040
0.6667 0.3333 0.5960
0.6667 0.3333 0.9040



(7)
Tb12Nd6Tl, relaxed, DFT GGA-PBE; DFT formation energy = 79 meV per atom; final energy = -4.476 eV per atom; ρ = 7.89 g/cm³
1.0
5.9996 3.4639 5.0224
-5.9996 3.4639 5.0224
0.0000 -6.9278 5.0224
Tb Nd Tl
12 6 1
Direct
0.0136 0.1867 0.3591
0.1867 0.3591 0.0136
0.2221 0.4612 0.5652
0.3591 0.0136 0.1867
0.4348 0.7779 0.5388
0.4612 0.5652 0.2221
0.5388 0.4348 0.7779
0.5652 0.2221 0.4612
0.6409 0.9864 0.8133
0.7779 0.5388 0.4348
0.8133 0.6409 0.9864
0.9864 0.8133 0.6409
0.0928 0.6968 0.2606
0.2606 0.0928 0.6968
0.3032 0.7394 0.9072
0.6968 0.2606 0.0928
0.7394 0.9072 0.3032
0.9072 0.3032 0.7394
0.0000 0.0000 0.0000



(8)
Tb3NdTl, relaxed, DFT GGA-PBE; DFT formation energy = -68 meV per atom; final energy = -4.273 eV per atom; ρ = 8.63 g/cm³; relative energy among the computed polymorphs = 53 meV/atom
1.0
5.5965 0.0000 0.0000
0.0578 6.8962 0.0000
1.1056 0.7062 8.2312
Tb Nd Tl
6 2 2
Direct
0.1897 0.0321 0.2554
0.2174 0.4973 0.3393
0.2906 0.2189 0.7942
0.7094 0.7811 0.2058
0.7826 0.5027 0.6607
0.8103 0.9679 0.7446
0.2658 0.6858 0.9534
0.7342 0.3142 0.0466
0.3392 0.7960 0.5757
0.6608 0.2040 0.4243



(9)
Tb3Nd4Tl, relaxed, DFT GGA-PBE; DFT formation energy = -76 meV per atom; final energy = -4.492 eV per atom; ρ = 8.14 g/cm³; relative energy among the computed polymorphs = 0 meV/atom
1.0
-2.5001 2.5001 10.2669
2.5001 -2.5001 10.2669
2.5001 2.5001 -10.2669
Tb Nd Tl
3 4 1
Direct
0.0000 0.0000 0.0000
0.2485 0.2485 0.0000
0.7515 0.7515 0.0000
0.1219 0.6219 0.5000
0.3781 0.8781 0.5000
0.6219 0.1219 0.5000
0.8781 0.3781 0.5000
0.5000 0.5000 0.0000



(10)
Tb2Nd3Tl, relaxed, DFT GGA-PBE; DFT formation energy = -109 meV per atom; final energy = -4.431 eV per atom; ρ = 8.33 g/cm³; relative energy among the computed polymorphs = 0 meV/atom
1.0
2.4984 -7.7068 0.0000
2.4984 7.7068 0.0000
0.0000 0.0000 4.9456
Tb Nd Tl
2 3 1
Direct
0.1630 0.8370 0.0000
0.8370 0.1630 0.0000
0.0000 0.0000 0.5000
0.3312 0.6688 0.5000
0.6688 0.3312 0.5000
0.5000 0.5000 0.0000



(11)
Tb4Nd4Tl, relaxed, DFT GGA-PBE; DFT formation energy = -40 meV per atom; final energy = -4.480 eV per atom; ρ = 8.08 g/cm³
1.0
-5.4221 5.4221 2.4769
5.4221 -5.4221 2.4769
5.4221 5.4221 -2.4769
Tb Nd Tl
4 4 1
Direct
0.0000 0.3369 0.3369
0.0000 0.6631 0.6631
0.3369 0.0000 0.3369
0.6631 0.0000 0.6631
0.3382 0.3382 0.6765
0.3382 0.6618 0.0000
0.6618 0.3382 0.0000
0.6618 0.6618 0.3235
0.0000 0.0000 0.0000



(12)
TbNd12Tl7, relaxed, DFT GGA-PBE; DFT formation energy = -38 meV per atom; final energy = -3.958 eV per atom; ρ = 8.09 g/cm³
1.0
6.9561 4.0161 4.0662
-6.9561 4.0161 4.0662
0.0000 -8.0322 4.0662
Tb Nd Tl
1 12 7
Direct
0.0000 0.0000 0.0000
0.1249 0.3782 0.4407
0.1813 0.7198 0.3192
0.2802 0.6808 0.8187
0.3192 0.1813 0.7198
0.3782 0.4407 0.1249
0.4407 0.1249 0.3782
0.5593 0.8751 0.6218
0.6218 0.5593 0.8751
0.6808 0.8187 0.2802
0.7198 0.3192 0.1813
0.8187 0.2802 0.6808
0.8751 0.6218 0.5593
0.0185 0.3525 0.0424
0.0424 0.0185 0.3525
0.3525 0.0424 0.0185
0.5000 0.5000 0.5000
0.6475 0.9576 0.9815
0.9576 0.9815 0.6475
0.9815 0.6475 0.9576



(13)
Tb5Nd12Tl2, relaxed, DFT GGA-PBE; DFT formation energy = 10 meV per atom; final energy = -4.469 eV per atom; ρ = 7.64 g/cm³
1.0
7.8037 -4.7300 0.0000
7.8037 4.7300 0.0000
-0.4907 0.0000 8.6401
Tb Nd Tl
5 12 2
Direct
0.0000 0.0000 0.0000
0.2323 0.2323 0.0854
0.3147 0.3147 0.4941
0.6852 0.6852 0.5059
0.7677 0.7677 0.9146
0.0347 0.6652 0.2654
0.0828 0.0828 0.3843
0.1822 0.5706 0.8425
0.3348 0.9653 0.7346
0.4294 0.8178 0.1575
0.4434 0.4434 0.1814
0.5566 0.5566 0.8186
0.5706 0.1822 0.8425
0.6652 0.0347 0.2654
0.8178 0.4294 0.1575
0.9172 0.9172 0.6157
0.9653 0.3348 0.7346
0.3174 0.6826 0.5000
0.6826 0.3174 0.5000



(14)
Tb12Nd5Tl2, relaxed, DFT GGA-PBE; DFT formation energy = 12 meV per atom; final energy = -4.416 eV per atom; ρ = 8.18 g/cm³
1.0
7.7619 -4.7050 0.0000
7.7619 4.7050 0.0000
-0.3650 0.0000 8.4362
Tb Nd Tl
12 5 2
Direct
0.0531 0.0531 0.3217
0.0673 0.6813 0.3369
0.1704 0.5376 0.7638
0.3187 0.9327 0.6631
0.4201 0.4201 0.1179
0.4624 0.8296 0.2362
0.5376 0.1704 0.7638
0.5799 0.5799 0.8821
0.6813 0.0673 0.3369
0.8296 0.4624 0.2362
0.9327 0.3187 0.6631
0.9469 0.9469 0.6783
0.1908 0.1908 0.0068
0.2661 0.2661 0.4190
0.5000 0.5000 0.5000
0.7339 0.7339 0.5810
0.8092 0.8092 0.9932
0.1858 0.8142 0.0000
0.8142 0.1858 0.0000



(15)
Tb6Nd3Tl, relaxed, DFT GGA-PBE; DFT formation energy = 26 meV per atom; final energy = -4.419 eV per atom; ρ = 8.08 g/cm³; relative energy among the computed polymorphs = 10 meV/atom
1.0
5.3663 -9.7522 0.0000
5.3663 9.7522 0.0000
0.0000 0.0000 6.2456
Tb Nd Tl
12 6 2
Direct
0.0335 0.4327 0.9728
0.0591 0.9409 0.5000
0.2867 0.7133 0.2333
0.2885 0.3735 0.1319
0.3735 0.2885 0.6319
0.4327 0.0335 0.4728
0.5673 0.9665 0.9728
0.6265 0.7115 0.1319
0.7115 0.6265 0.6319
0.7133 0.2867 0.7333
0.9409 0.0591 0.0000
0.9665 0.5673 0.4728
0.0477 0.2849 0.5077
0.2849 0.0477 0.0077
0.3962 0.6038 0.6563
0.6038 0.3962 0.1563
0.7151 0.9523 0.5077
0.9523 0.7151 0.0077
0.2360 0.7640 0.7480
0.7640 0.2360 0.2480



(16)
TbNdTl2, relaxed, DFT GGA-PBE; DFT formation energy = -264 meV per atom; final energy = -3.797 eV per atom; ρ = 9.57 g/cm³
1.0
1.9156 1.1060 9.7210
-1.9156 1.1060 9.7210
0.0000 -2.2119 9.7210
Tb Nd Tl
1 1 2
Direct
0.0000 0.0000 0.0000
0.5000 0.5000 0.5000
0.2520 0.2520 0.2520
0.7480 0.7480 0.7480



(17)
Tb5Nd3Tl2, relaxed, DFT GGA-PBE; DFT formation energy = 79 meV per atom; final energy = -4.139 eV per atom; ρ = 8.23 g/cm³
1.0
-6.5196 7.7444 3.2676
6.5196 -7.7444 3.2676
6.5196 7.7444 -3.2676
Tb Nd Tl
10 6 4
Direct
0.1635 0.1183 0.2818
0.2500 0.0039 0.7539
0.2500 0.2500 0.0000
0.2500 0.4961 0.2461
0.3365 0.6183 0.9548
0.6635 0.3817 0.0452
0.7500 0.5039 0.7539
0.7500 0.7500 0.0000
0.7500 0.9961 0.2461
0.8365 0.8817 0.7182
0.2394 0.3799 0.6192
0.2500 0.7500 0.5000
0.2606 0.8799 0.1405
0.7394 0.1201 0.8595
0.7500 0.2500 0.5000
0.7606 0.6201 0.3808
0.1457 0.6355 0.7812
0.3543 0.1355 0.4898
0.6457 0.8645 0.5102
0.8543 0.3645 0.2188



(18)
Tb2Nd9Tl, relaxed, DFT GGA-PBE; DFT formation energy = -48 meV per atom; final energy = -4.593 eV per atom; ρ = 7.54 g/cm³
1.0
5.0742 0.0000 0.0000
0.0000 5.0742 0.0000
0.0000 0.0000 15.5649
Tb Nd Tl
2 9 1
Direct
0.0000 0.0000 0.1684
0.0000 0.0000 0.8316
0.0000 0.5000 0.0000
0.0000 0.5000 0.3379
0.0000 0.5000 0.6621
0.5000 0.0000 0.0000
0.5000 0.0000 0.3379
0.5000 0.0000 0.6621
0.5000 0.5000 0.1698
0.5000 0.5000 0.5000
0.5000 0.5000 0.8302
0.0000 0.0000 0.5000



(19)
Tb7Nd3Tl2, relaxed, DFT GGA-PBE; DFT formation energy = -28 meV per atom; final energy = -4.316 eV per atom; ρ = 8.39 g/cm³
1.0
5.7302 0.0000 0.0000
0.0000 3.6432 0.0000
-1.0473 0.0000 18.5150
Tb Nd Tl
7 3 2
Direct
0.0000 0.0000 0.0000
0.1750 0.5000 0.1683
0.2580 0.5000 0.5402
0.3267 0.0000 0.8497
0.6733 0.0000 0.1503
0.7420 0.5000 0.4598
0.8250 0.5000 0.8317
0.2265 0.0000 0.3640
0.5000 0.5000 0.0000
0.7735 0.0000 0.6360
0.2877 0.5000 0.7078
0.7123 0.5000 0.2922